(1)
The following is a GGA-PBE calculation of AsIr2Os after structural relaxation, from the Alexandria database.

POSCAR file:
```
AsIr2Os
1.0
-2.6518 0.7480 -0.7165
-0.9505 -0.9746 2.5004
1.0589 6.6062 2.9776
As Ir Os
1 2 1
direct
0.5000 0.5000 0.7486 As
0.0000 0.0000 0.9927 Ir
0.5000 0.5000 0.2580 Ir
0.0000 0.0000 0.5008 Os
```

Output
energy of formation from the pure elements = 0.313 eV per atom
M_tot = 0.000 μB per atom
space-group type = P4mm, No. 99
E = -8.087 eV/atom

=====

(2)
The following is a GGA-PBE calculation of AcCdH after structural relaxation, from the Alexandria database.

POSCAR file:
```
AcCdH
1.0
4.1291 0.0000 0.0000
-2.0645 3.5759 0.0000
0.0000 0.0000 5.3113
H Ac Cd
1 1 1
direct
0.3333 0.6667 0.4991 H
0.6667 0.3333 0.5004 Ac
0.0000 0.0000 0.0005 Cd
```

Output
M_tot = 0.000 μB per atom
distance to the lowest polymorph of the same formula = 0.068 eV per atom
space-group type = P3m1, No. 156
E = -3.005 eV/atom

=====

(3)
The following is a GGA-PBE calculation of Hf2HO after structural relaxation, from the Alexandria database.

POSCAR file:
```
Hf2HO
1.0
-2.9426 0.2239 -0.9435
-2.2657 -1.2913 1.6729
-2.4045 5.2372 3.6548
H Hf O
1 2 1
direct
0.0000 0.0000 0.0000 H
0.0894 0.0894 0.7318 Hf
0.9106 0.9106 0.2682 Hf
0.5000 0.5000 0.5000 O
```

Output
M_tot = 0.000 μB per atom
distance to the lowest polymorph of the same formula = 0.367 eV per atom
space-group type = R-3m, No. 166
E = -7.992 eV/atom

=====

(4)
The following is a GGA-PBE calculation of SmY2Er9 after structural relaxation, from the Alexandria database.

POSCAR file:
```
SmY2Er9
1.0
-4.7717 0.4752 -1.3815
0.9845 -2.4410 -4.2398
-3.2386 -12.9803 6.7212
Sm Y Er
1 2 9
direct
0.0000 0.0000 0.0000 Sm
0.0000 0.0000 0.3335 Y
0.0000 0.0000 0.6665 Y
0.5000 0.5000 0.0000 Er
0.5000 0.5000 0.3339 Er
0.5000 0.5000 0.6661 Er
0.5000 0.0000 0.1671 Er
0.5000 0.0000 0.5000 Er
0.5000 0.0000 0.8329 Er
0.0000 0.5000 0.1671 Er
0.0000 0.5000 0.5000 Er
0.0000 0.5000 0.8329 Er
```

Output
energy of formation from the pure elements = 0.025 eV per atom
M_tot = 0.000 μB per atom
distance to the lowest polymorph of the same formula = 0.000 eV per atom
space-group type = P4/mmm, No. 123
E = -4.867 eV/atom

=====

(5)
The following is a GGA-PBE calculation of Pm2Sm7Dy2 after structural relaxation, from the Alexandria database.

POSCAR file:
```
Pm2Sm7Dy2
1.0
10.0679 0.3561 0.5139
-0.4152 6.3175 -0.1463
-0.4152 -2.3555 5.8638
Pm Sm Dy
2 7 2
direct
0.7089 0.2904 0.2904 Pm
0.2911 0.7096 0.7096 Pm
0.1473 0.1735 0.5824 Sm
0.8527 0.4176 0.8265 Sm
0.8527 0.8265 0.4176 Sm
0.1473 0.5824 0.1735 Sm
0.0000 0.0000 0.0000 Sm
0.6371 0.8121 0.8121 Sm
0.3629 0.1879 0.1879 Sm
0.5000 0.2708 0.7292 Dy
0.5000 0.7292 0.2708 Dy
```

Output
energy of formation from the pure elements = 0.101 eV per atom
M_tot = 0.000 μB per atom
distance to the lowest polymorph of the same formula = 0.000 eV per atom
space-group type = C2/m, No. 12
E = -4.602 eV/atom

=====

(6)
The following is a GGA-PBE calculation of Np2UGa9 after structural relaxation, from the Alexandria database.

POSCAR file:
```
Np2UGa9
1.0
-3.5401 2.3793 0.0849
-1.5651 -2.2111 -3.2958
-5.3766 -8.2880 8.1139
Np U Ga
2 1 9
direct
0.0000 0.0000 0.3331 Np
0.0000 0.0000 0.6669 Np
0.0000 0.0000 0.0000 U
0.5000 0.5000 0.0000 Ga
0.5000 0.5000 0.3335 Ga
0.5000 0.5000 0.6665 Ga
0.5000 0.0000 0.1669 Ga
0.5000 0.0000 0.5000 Ga
0.5000 0.0000 0.8331 Ga
0.0000 0.5000 0.1669 Ga
0.0000 0.5000 0.5000 Ga
0.0000 0.5000 0.8331 Ga
```

Output
energy of formation from the pure elements = -0.215 eV per atom
M_tot = 0.849 μB per atom
space-group type = P4/mmm, No. 123
E = -5.582 eV/atom

=====

(7)
The following is a GGA-PBE calculation of LiAc2Tl after structural relaxation, from the Alexandria database.

POSCAR file:
```
LiAc2Tl
1.0
4.2020 0.0000 0.0000
0.0000 5.7094 0.0000
0.0000 0.0000 5.7094
Ac Tl Li
2 1 1
direct
0.0000 0.0000 0.5000 Ac
0.0000 0.5000 0.0000 Ac
0.5000 0.5000 0.5000 Tl
0.5000 0.0000 0.0000 Li
```

Output
energy of formation from the pure elements = -0.176 eV per atom
M_tot = 0.000 μB per atom
space-group type = P4/mmm, No. 123
E = -3.300 eV/atom

=====

(8)
The following is a GGA-PBE calculation of AlPPt2 after structural relaxation, from the Alexandria database.

POSCAR file:
```
AlPPt2
1.0
-1.4063 2.1407 -4.4539
-1.4092 -3.5174 -3.4698
-0.9537 2.2183 4.5351
P Al Pt
1 1 2
direct
0.7500 0.2500 0.5000 P
0.2500 0.7500 0.5000 Al
0.9964 0.9964 0.0000 Pt
0.5036 0.5036 0.0000 Pt
```

Output
energy of formation from the pure elements = -0.267 eV per atom
M_tot = 0.000 μB per atom
distance to the lowest polymorph of the same formula = 0.322 eV per atom
space-group type = Immm, No. 71
E = -5.576 eV/atom

=====

(9)
The following is a GGA-PBE calculation of YZrCdAu after structural relaxation, from the Alexandria database.

POSCAR file:
```
YZrCdAu
1.0
5.0585 0.0000 0.0000
2.5292 4.3808 0.0000
2.5292 1.4603 4.1302
Y Au Zr Cd
1 1 1 1
direct
0.7500 0.7500 0.7500 Y
0.5000 0.5000 0.5000 Au
0.2500 0.2500 0.2500 Zr
0.0000 0.0000 0.0000 Cd
```

Output
energy of formation from the pure elements = -0.348 eV per atom
M_tot = 0.239 μB per atom
space-group type = F-43m, No. 216
E = -5.149 eV/atom

=====

(10)
The following is a GGA-PBE calculation of NdLuC2 after structural relaxation, from the Alexandria database.

POSCAR file:
```
NdLuC2
1.0
-1.0677 3.3826 -0.8287
-0.7888 0.8674 -3.4488
-6.2393 -0.1383 -0.5313
C Lu Nd
2 1 1
direct
0.2567 0.2567 0.2298 C
0.7433 0.7433 0.7702 C
0.0000 0.0000 0.0000 Lu
0.5000 0.5000 0.5000 Nd
```

Output
energy of formation from the pure elements = 0.150 eV per atom
M_tot = 0.000 μB per atom
space-group type = R-3m, No. 166
E = -6.784 eV/atom

=====

(11)
The following is a GGA-PBE calculation of Hf2HIrRu after structural relaxation, from the Alexandria database.

POSCAR file:
```
Hf2HIrRu
1.0
4.4491 0.0000 0.0000
0.0000 4.4491 0.0000
0.0000 0.0000 3.6229
Ru Ir Hf H
1 1 2 1
direct
0.0000 0.0000 0.5000 Ru
0.5000 0.5000 0.5000 Ir
0.0000 0.5000 0.0000 Hf
0.5000 0.0000 0.0000 Hf
0.0000 0.0000 0.0000 H
```

Output
M_tot = 0.000 μB per atom
distance to the lowest polymorph of the same formula = 0.000 eV per atom
space-group type = P4/mmm, No. 123
E = -8.932 eV/atom

=====

(12)
The following is a GGA-PBE calculation of RbNaBi2Pt after structural relaxation, from the Alexandria database.

POSCAR file:
```
RbNaBi2Pt
1.0
5.5069 0.0000 0.0000
0.0000 6.1442 0.0000
0.0000 0.0000 5.5069
Na Rb Bi Pt
1 1 2 1
direct
0.5000 0.5000 0.5000 Na
0.0000 0.5000 0.0000 Rb
0.0000 0.0000 0.5000 Bi
0.5000 0.0000 0.0000 Bi
0.0000 0.0000 0.0000 Pt
```

Output
energy of formation from the pure elements = -0.001 eV per atom
M_tot = 0.000 μB per atom
distance to the lowest polymorph of the same formula = 0.000 eV per atom
space-group type = P4/mmm, No. 123
E = -3.218 eV/atom

=====

(13)
The following is a GGA-PBE calculation of ScNiSbTe2 after structural relaxation, from the Alexandria database.

POSCAR file:
```
ScNiSbTe2
1.0
-0.5681 0.0307 -5.4289
5.2789 -1.2718 -0.5596
-1.2712 -5.3217 0.1029
Sc Sb Te Ni
1 1 2 1
direct
0.0000 0.0000 0.0000 Sc
0.0000 0.0000 0.5000 Sb
0.0000 0.5000 0.0000 Te
0.5000 0.0000 0.0000 Te
0.5000 0.5000 0.5000 Ni
```

Output
M_tot = 0.189 μB per atom
E_form (uncorrected) = 2.67 eV/f.u.
distance to the lowest polymorph of the same formula = 0.530 eV per atom
space-group type = P4/mmm, No. 123
E = -3.971 eV/atom

=====

(14)
The following is a GGA-PBE calculation of RbFe2HgPt after structural relaxation, from the Alexandria database.

POSCAR file:
```
RbFe2HgPt
1.0
-4.0150 -1.9845 1.0563
1.6335 -0.4694 5.3270
-1.8019 4.1336 0.9168
Rb Hg Pt Fe
1 1 1 2
direct
0.0000 0.0000 0.0000 Rb
0.0000 0.5000 0.0000 Hg
0.5000 0.5000 0.5000 Pt
0.0000 0.0000 0.5000 Fe
0.5000 0.0000 0.0000 Fe
```

Output
energy of formation from the pure elements = 2.357 eV per atom
M_tot = 1.041 μB per atom
space-group type = P4/mmm, No. 123
E = -2.490 eV/atom

=====

(15)
The following is a GGA-PBE calculation of TaAgRu after structural relaxation, from the Alexandria database.

POSCAR file:
```
TaAgRu
1.0
4.3507 0.0000 0.0000
2.1754 3.7678 0.0000
2.1754 1.2559 3.5524
Ag Ru Ta
1 1 1
direct
0.0000 0.0000 0.0000 Ag
0.5000 0.5000 0.5000 Ru
0.7500 0.7500 0.7500 Ta
```

Output
energy of formation from the pure elements = 0.632 eV per atom
M_tot = 0.000 μB per atom
distance to the lowest polymorph of the same formula = 0.585 eV per atom
space-group type = F-43m, No. 216
E = -7.361 eV/atom

=====

(16)
The following is a GGA-PBE calculation of PPd2Pt4Pb2 after structural relaxation, from the Alexandria database.

POSCAR file:
```
PPd2Pt4Pb2
1.0
6.2272 -0.1935 -0.2793
-3.1589 5.3700 0.2793
-3.1589 -1.6252 5.1258
P Pd Pt Pb
1 2 4 2
direct
0.0000 0.0000 0.0000 P
0.0000 0.7395 0.7395 Pd
0.0000 0.2605 0.2605 Pd
0.0000 0.7301 0.2699 Pt
0.4601 0.7301 0.7301 Pt
0.0000 0.2699 0.7301 Pt
0.5399 0.2699 0.2699 Pt
0.5000 0.7500 0.2500 Pb
0.5000 0.2500 0.7500 Pb
```

Output
energy of formation from the pure elements = -0.224 eV per atom
M_tot = 0.000 μB per atom
space-group type = I4/mmm, No. 139
E = -5.488 eV/atom

=====

(17)
The following is a GGA-PBE calculation of Ca2ScPtO after structural relaxation, from the Alexandria database.

POSCAR file:
```
Ca2ScPtO
1.0
-4.0175 -0.6396 2.5322
-1.9232 -2.4189 -3.6623
1.5544 -3.5948 1.5581
Sc Ca O Pt
1 2 1 1
direct
0.0000 0.0000 0.5000 Sc
0.0000 0.5000 0.0000 Ca
0.5000 0.0000 0.0000 Ca
0.0000 0.0000 0.0000 O
0.5000 0.5000 0.5000 Pt
```

Output
M_tot = 0.000 μB per atom
E_form (uncorrected) = -7.49 eV/f.u.
space-group type = P4/mmm, No. 123
E = -5.765 eV/atom

=====

(18)
The following is a GGA-PBE calculation of NbSbPt2 after structural relaxation, from the Alexandria database.

POSCAR file:
```
NbSbPt2
1.0
7.3705 0.0000 0.0000
0.0000 7.3705 0.0000
3.6853 3.6853 2.8222
Sb Nb Pt
2 2 4
direct
0.0000 0.0000 0.0000 Sb
0.7500 0.2500 0.5000 Sb
0.5000 0.5000 0.0000 Nb
0.2500 0.7500 0.5000 Nb
0.6238 0.1250 0.2500 Pt
0.1262 0.6250 0.2500 Pt
0.3750 0.3762 0.7500 Pt
0.8750 0.8738 0.7500 Pt
```

Output
M_tot = 0.000 μB per atom
E_form (uncorrected) = -0.84 eV/f.u.
space-group type = I-42d, No. 122
E = -6.779 eV/atom